No. 1
VASP calculation (SCAN) on a crystal of MgInSn3 relaxed with PBEsol.

Cell: 5.3510 5.3510 5.3510 Å, 90.00 90.00 90.00°
Closest atoms and distances in Å follow each position.
Space group Pm-3m (No. 221)
One atom of each set of equivalent atoms:
1 Mg 0.0000 0.0000 0.0000 [1 per cell]  6 Sn 2.68
2 In 0.5000 0.5000 0.5000 [1 per cell]  12 Sn 3.78
3 Sn 0.0000 0.0000 0.5000 [3 per cell]  2 Mg 2.68

As for the formation energy: 0.46 eV/atom. The calculation puts the total energy at -28.768 eV/atom.

No. 2
VASP calculation (SCAN) on a crystal of CdBr relaxed with PBEsol.

Cell: 4.1165 4.1165 12.7303 Å, 90.00 90.00 90.00°
Closest atoms and distances in Å follow each position.
Space group I4_1/amd (No. 141, origin choice 2)
One atom of each set of equivalent atoms:
1 Cd 0.0000 0.2500 0.3750 [4 per cell]  4 Br 2.91
2 Br 0.0000 0.2500 0.8750 [4 per cell]  4 Cd 2.91

The calculation puts the formation energy (no corrections) at -0.28 eV/atom. The calculation puts the total energy at -25.214 eV/atom.

No. 3
VASP calculation (SCAN) on a crystal of ScZn2Br relaxed with PBEsol.

Cell: 9.4914 3.4025 5.0429 Å, 90.00 110.25 90.00°
Closest atoms and distances in Å follow each position.
Space group Cm (No. 8)
One atom of each set of equivalent atoms:
1 Sc 0.0000 0.0000 0.0000 [2 per cell]  3 Br 2.67-2.69, 3 Zn 2.88-2.98
2 Zn 0.0003 0.5000 0.4617 [2 per cell]  3 Zn 2.65-2.77, 2 Sc 2.88, 1 Br 2.91
3 Zn 0.2441 0.0000 0.5633 [2 per cell]  3 Zn 2.65-2.77, 2 Br 2.96
4 Br 0.2240 0.5000 0.0289 [2 per cell]  3 Sc 2.67-2.69, 3 Zn 2.91-2.96

The calculation puts the formation energy (no corrections) at -0.32 eV/atom. The calculation puts the total energy at -15.502 eV/atom.

No. 4
VASP calculation (SCAN) on a crystal of Ca2TaAs relaxed with PBEsol.

Cell: 3.5281 5.2199 10.5193 Å, 90.00 90.00 90.00°
Closest atoms and distances in Å follow each position.
Space group Imm2 (No. 44)
One atom of each set of equivalent atoms:
1 Ca 0.0000 0.0000 0.0000 [2 per cell]  2 As 2.98, 2 Ca 3.32, 4 Ta 3.32
2 Ca 0.0000 0.5000 0.1949 [2 per cell]  4 As 3.17, 4 Ca 3.32-3.53, 2 Ta 3.39
3 Ta 0.0000 0.0000 0.4000 [2 per cell]  2 As 2.52
4 As 0.0000 0.5000 0.7288 [2 per cell]  2 Ta 2.52

As for the formation energy: -0.03 eV/atom. The calculation puts the total energy at -26.559 eV/atom.

No. 5
VASP calculation (SCAN) on a crystal of BeV3H relaxed with PBEsol.

Cell: 3.6788 3.6788 3.6788 Å, 90.00 90.00 90.00°
Closest atoms and distances in Å follow each position.
Space group Pm-3m (No. 221)
One atom of each set of equivalent atoms:
1 Be 0.0000 0.0000 0.0000 [1 per cell]  12 V 2.60
2 V 0.0000 0.5000 0.5000 [3 per cell]  2 H 1.84
3 H 0.5000 0.5000 0.5000 [1 per cell]  6 V 1.84

The calculation puts the total energy at -12.147 eV/atom.

No. 6
VASP calculation (SCAN) on a crystal of NaCr2O4 relaxed with PBEsol.

Cell: 8.9100 2.9048 10.4027 Å, 90.00 90.00 90.00°
Closest atoms and distances in Å follow each position.
Space group Pnma (No. 62)
One atom of each set of equivalent atoms:
1 Na 0.2421 0.2500 0.1547 [4 per cell]  8 O 2.34-2.54
2 Cr 0.0627 0.2500 0.3869 [4 per cell]  6 O 1.92-1.96
3 Cr 0.0821 0.2500 0.8956 [4 per cell]  6 O 1.93-1.95
4 O 0.0240 0.7500 0.7845 [4 per cell]  3 Cr 1.93-1.94
5 O 0.0753 0.2500 0.5716 [4 per cell]  3 Cr 1.92-1.95
6 O 0.1118 0.7500 0.0182 [4 per cell]  3 Cr 1.95
7 O 0.2048 0.7500 0.3522 [4 per cell]  3 Cr 1.95-1.96

The calculation puts the formation energy (no corrections) at -2.38 eV/atom. The calculation puts the total energy at -11.792 eV/atom.

No. 7
VASP calculation (SCAN) on a crystal of NbAsP2 relaxed with PBEsol.

Cell: 5.7443 5.7443 10.3345 Å, 90.00 90.00 90.00°
Closest atoms and distances in Å follow each position.
Space group I-42d (No. 122)
One atom of each set of equivalent atoms:
1 Nb 0.0000 0.0000 0.0000 [4 per cell]  4 P 2.41
2 As 0.0000 0.0000 0.5000 [4 per cell]  4 P 2.40
3 P 0.2488 0.2500 0.6250 [8 per cell]  2 As 2.40, 2 Nb 2.41

As for the formation energy: 0.16 eV/atom. The calculation puts the total energy at -18.367 eV/atom.

No. 8
VASP calculation (SCAN) on a crystal of BaLaBe2Si relaxed with PBEsol.

Cell: 4.9726 4.9726 5.4522 Å, 90.00 90.00 90.00°
Closest atoms and distances in Å follow each position.
Space group P4/mmm (No. 123)
One atom of each set of equivalent atoms:
1 Ba 0.0000 0.0000 0.0000 [1 per cell]  4 Be 2.49, 2 Si 2.73
2 La 0.5000 0.5000 0.5000 [1 per cell]  4 Si 3.52, 8 Be 3.69
3 Be 0.0000 0.5000 0.0000 [2 per cell]  2 Ba 2.49
4 Si 0.0000 0.0000 0.5000 [1 per cell]  2 Ba 2.73

The calculation puts the formation energy (no corrections) at 1.28 eV/atom. The calculation puts the total energy at -18.992 eV/atom.

No. 9
VASP calculation (SCAN) on a crystal of KB6F6 relaxed with PBEsol.

Cell: 8.2754 14.2642 11.3896 Å, 90.00 92.94 90.00°
Closest atoms and distances in Å follow each position.
Space group C2/c (No. 15)
One atom of each set of equivalent atoms:
1 K 0.0000 0.0000 0.0000 [4 per cell]  4 F 2.64-2.80
2 K 0.0000 0.3312 0.2500 [4 per cell]  8 F 2.65-2.87
3 B 0.0314 0.3301 0.9005 [8 per cell]  1 F 1.38
4 B 0.0697 0.2288 0.8130 [8 per cell]  1 F 1.39
5 B 0.0700 0.4308 0.8122 [8 per cell]  1 F 1.39
6 B 0.1331 0.2671 0.6730 [8 per cell]  1 F 1.39
7 B 0.1337 0.3923 0.6722 [8 per cell]  1 F 1.39
8 B 0.1956 0.3300 0.8034 [8 per cell]  1 F 1.40
9 F 0.0585 0.3313 0.0210 [8 per cell]  1 B 1.38
10 F 0.1201 0.1430 0.8603 [8 per cell]  1 B 1.39
11 F 0.1330 0.4862 0.3601 [8 per cell]  1 B 1.39
12 F 0.1425 0.1656 0.1560 [8 per cell]  1 B 1.40
13 F 0.2411 0.2124 0.6138 [8 per cell]  1 B 1.39
14 F 0.2468 0.4437 0.6134 [8 per cell]  1 B 1.39

The calculation puts the formation energy (no corrections) at -1.98 eV/atom. The calculation puts the total energy at -7.683 eV/atom.

No. 10
VASP calculation (SCAN) on a crystal of Cd2PAu relaxed with PBEsol.

Cell: 4.2896 4.2896 7.9432 Å, 90.00 90.00 90.00°
Closest atoms and distances in Å follow each position.
Space group I4/mmm (No. 139)
One atom of each set of equivalent atoms:
1 Cd 0.0000 0.5000 0.2500 [4 per cell]  4 P 2.92, 4 Au 2.92, 4 Cd 3.03
2 P 0.0000 0.0000 0.0000 [2 per cell]  8 Cd 2.92, 4 Au 3.03
3 Au 0.0000 0.0000 0.5000 [2 per cell]  8 Cd 2.92, 4 P 3.03

As for the formation energy: 0.14 eV/atom. The calculation puts the total energy at -34.957 eV/atom.

No. 11
VASP calculation (SCAN) on a crystal of BeSbPO2 relaxed with PBEsol.

Cell: 3.8141 3.8141 5.2928 Å, 90.00 90.00 90.00°
Closest atoms and distances in Å follow each position.
Space group P4/mmm (No. 123)
One atom of each set of equivalent atoms:
1 Be 0.0000 0.0000 0.0000 [1 per cell]  4 P 2.70
2 Sb 0.5000 0.5000 0.5000 [1 per cell]  4 O 1.91
3 P 0.5000 0.5000 0.0000 [1 per cell]  2 Sb 2.65, 4 Be 2.70
4 O 0.0000 0.5000 0.5000 [2 per cell]  2 Sb 1.91

The calculation puts the formation energy (no corrections) at -0.16 eV/atom. The calculation puts the total energy at -13.051 eV/atom.

No. 12
VASP calculation (SCAN) on a crystal of KMgBe2 relaxed with PBEsol.

Cell: 2.7911 4.1034 7.2957 Å, 90.00 90.26 90.00°
Closest atoms and distances in Å follow each position.
Space group P2/m (No. 10)
One atom of each set of equivalent atoms:
1 K 0.0000 0.0000 0.0000 [1 per cell]  2 K 2.79
2 Mg 0.0000 0.0000 0.5000 [1 per cell]  8 Be 2.70-2.71, 2 Mg 2.79
3 Be 0.4997 0.5000 0.3518 [2 per cell]  1 Be 2.16

As for the formation energy: 0.65 eV/atom. The calculation puts the total energy at -4.850 eV/atom.

| no. | magnetization (μB/atom) |
| --- | --- |
| 1 | 0.00 |
| 2 | 0.00 |
| 3 | 0.00 |
| 4 | 0.00 |
| 5 | 0.00 |
| 6 | 0.71 |
| 7 | 0.00 |
| 8 | 0.00 |
| 9 | 0.00 |
| 10 | 0.00 |
| 11 | 0.00 |
| 12 | 0.00 |